No. 1
## GeP2CS (PBE-GGA)

Data for a relaxed GeP2CS crystal.

Calculated values
Energy above the lowest structure with this stoichiometry   1056 meV/atom
Raw formation energy   2.19 eV/atom
VASP energy   -17.851 eV per cell
Magnetic moment   0.4 Bohr magnetons per cell
DOS(E_F)   4.5 states/eV/f.u.

```
data_GeP2CS
_chemical_formula_sum 'Ge1 P2 C1 S1'
_space_group_name_H-M_alt 'P 1'
_space_group_IT_number 1
_space_group_name_Hall 'P 1'
_cell_length_a 4.725
_cell_length_b 4.725
_cell_length_c 4.627
_cell_angle_alpha 90.00
_cell_angle_beta 90.00
_cell_angle_gamma 90.00
loop_
_atom_site_label
_atom_site_type_symbol
_atom_site_fract_x
_atom_site_fract_y
_atom_site_fract_z
P1 P 0.500 0.000 0.000
S1 S 0.000 0.000 0.500
C1 C 0.500 0.500 0.500
P2 P 0.000 0.500 0.000
Ge1 Ge 0.000 0.000 0.000
```



No. 2
## GePCS2 (PBE-GGA)

Data for a relaxed GePCS2 crystal.

Calculated values
Energy above the lowest structure with this stoichiometry   0 meV/atom
Raw formation energy   1.09 eV/atom
VASP energy   -22.074 eV per cell
Magnetic moment   0.0 Bohr magnetons per cell
DOS(E_F)   1.9 states/eV/f.u.

```
data_GePCS2
_chemical_formula_sum 'Ge1 P1 C1 S2'
_space_group_name_H-M_alt 'P 1'
_space_group_IT_number 1
_space_group_name_Hall 'P 1'
_cell_length_a 4.387
_cell_length_b 4.387
_cell_length_c 3.871
_cell_angle_alpha 90.00
_cell_angle_beta 90.00
_cell_angle_gamma 90.00
loop_
_atom_site_label
_atom_site_type_symbol
_atom_site_fract_x
_atom_site_fract_y
_atom_site_fract_z
Ge1 Ge 0.500 0.500 0.500
S1 S 0.500 0.000 0.000
S2 S 0.000 0.500 0.000
C1 C 0.000 0.000 0.000
P1 P 0.000 0.000 0.500
```



No. 3
## SrGePC2 (PBE-GGA)

Data for a relaxed SrGePC2 crystal.

Calculated values
VASP energy   -21.354 eV per cell
Magnetic moment   0.0 Bohr magnetons per cell
DOS(E_F)   4.4 states/eV/f.u.
Formation energy from the elements   8.80 eV per formula unit

```
data_SrGePC2
_chemical_formula_sum 'Sr1 Ge1 P1 C2'
_space_group_name_H-M_alt 'P 1'
_space_group_IT_number 1
_space_group_name_Hall 'P 1'
_cell_length_a 4.063
_cell_length_b 6.170
_cell_length_c 4.063
_cell_angle_alpha 90.00
_cell_angle_beta 90.00
_cell_angle_gamma 90.00
loop_
_atom_site_label
_atom_site_type_symbol
_atom_site_fract_x
_atom_site_fract_y
_atom_site_fract_z
Ge1 Ge 0.000 0.000 0.000
C1 C 0.500 0.000 0.000
P1 P 0.500 0.500 0.500
C2 C 0.000 0.000 0.500
Sr1 Sr 0.000 0.500 0.000
```



No. 4
## Sr2GePC (PBE-GGA)

Data for a relaxed Sr2GePC crystal.

Calculated values
VASP energy   -17.883 eV per cell
Magnetic moment   2.2 Bohr magnetons per cell
DOS(E_F)   2.4 states/eV/f.u.
Formation energy from the elements   4.73 eV per formula unit

```
data_Sr2GePC
_chemical_formula_sum 'Sr2 Ge1 P1 C1'
_space_group_name_H-M_alt 'P 1'
_space_group_IT_number 1
_space_group_name_Hall 'P 1'
_cell_length_a 5.924
_cell_length_b 4.537
_cell_length_c 5.924
_cell_angle_alpha 90.00
_cell_angle_beta 90.00
_cell_angle_gamma 90.00
loop_
_atom_site_label
_atom_site_type_symbol
_atom_site_fract_x
_atom_site_fract_y
_atom_site_fract_z
C1 C 0.500 0.500 0.500
Sr1 Sr 0.000 0.000 0.500
Ge1 Ge 0.000 0.000 0.000
P1 P 0.000 0.500 0.000
Sr2 Sr 0.500 0.000 0.000
```



No. 5
## Th4Ge2PC (PBE-GGA)

Data for a relaxed Th4Ge2PC crystal.

Calculated values
VASP energy   -59.636 eV per cell
Magnetic moment   0.0 Bohr magnetons per cell
DOS(E_F)   3.9 states/eV/f.u.
Formation energy from the elements   -6.09 eV per formula unit

```
data_Th4Ge2PC
_chemical_formula_sum 'Th4 Ge2 P1 C1'
_space_group_name_H-M_alt 'P 1'
_space_group_IT_number 1
_space_group_name_Hall 'P 1'
_cell_length_a 4.111
_cell_length_b 7.184
_cell_length_c 7.198
_cell_angle_alpha 109.03
_cell_angle_beta 90.00
_cell_angle_gamma 90.00
loop_
_atom_site_label
_atom_site_type_symbol
_atom_site_fract_x
_atom_site_fract_y
_atom_site_fract_z
Ge1 Ge 0.000 0.500 0.500
Th1 Th 0.000 0.273 0.776
Th2 Th 0.500 0.740 0.768
C1 C 0.500 0.500 0.000
Th3 Th 0.000 0.727 0.224
Th4 Th 0.500 0.260 0.232
Ge2 Ge 0.500 0.000 0.500
P1 P 0.000 0.000 0.000
```



No. 6
## ZrGePC2 (PBE-GGA)

Data for a relaxed ZrGePC2 crystal.

Calculated values
VASP energy   -27.315 eV per cell
Magnetic moment   0.0 Bohr magnetons per cell
DOS(E_F)   5.0 states/eV/f.u.
Formation energy from the elements   9.71 eV per formula unit

```
data_ZrGePC2
_chemical_formula_sum 'Zr1 Ge1 P1 C2'
_space_group_name_H-M_alt 'P 1'
_space_group_IT_number 1
_space_group_name_Hall 'P 1'
_cell_length_a 4.214
_cell_length_b 5.567
_cell_length_c 4.214
_cell_angle_alpha 90.00
_cell_angle_beta 90.00
_cell_angle_gamma 90.00
loop_
_atom_site_label
_atom_site_type_symbol
_atom_site_fract_x
_atom_site_fract_y
_atom_site_fract_z
P1 P 0.500 0.500 0.500
C1 C 0.000 0.000 0.500
Ge1 Ge 0.000 0.500 0.000
C2 C 0.500 0.000 0.000
Zr1 Zr 0.000 0.000 0.000
```



No. 7
## Pa6Ge2C (PBE-GGA)

Data for a relaxed Pa6Ge2C crystal.

Calculated values
VASP energy   -147.183 eV per cell
Magnetic moment   0.0 Bohr magnetons per cell
DOS(E_F)   20.1 states/eV/f.u.
Formation energy from the elements   1.84 eV per formula unit

```
data_Pa6Ge2C
_chemical_formula_sum 'Pa12 Ge4 C2'
_space_group_name_H-M_alt 'P 1'
_space_group_IT_number 1
_space_group_name_Hall 'P 1'
_cell_length_a 6.608
_cell_length_b 6.608
_cell_length_c 10.647
_cell_angle_alpha 90.00
_cell_angle_beta 90.00
_cell_angle_gamma 90.00
loop_
_atom_site_label
_atom_site_type_symbol
_atom_site_fract_x
_atom_site_fract_y
_atom_site_fract_z
Pa1 Pa 0.752 0.248 0.000
Pa2 Pa 0.700 0.700 0.152
Pa3 Pa 0.248 0.752 0.000
Ge1 Ge 0.500 0.500 0.348
C1 C 0.500 0.500 0.000
Pa4 Pa 0.748 0.748 0.500
Ge2 Ge 0.000 0.000 0.152
Pa5 Pa 0.800 0.200 0.348
C2 C 0.000 0.000 0.500
Pa6 Pa 0.300 0.300 0.152
Pa7 Pa 0.200 0.800 0.348
Pa8 Pa 0.300 0.300 0.848
Pa9 Pa 0.200 0.800 0.652
Pa10 Pa 0.800 0.200 0.652
Ge3 Ge 0.000 0.000 0.848
Pa11 Pa 0.252 0.252 0.500
Pa12 Pa 0.700 0.700 0.848
Ge4 Ge 0.500 0.500 0.652
```



No. 8
## Pa4GeC (PBE-GGA)

Data for a relaxed Pa4GeC crystal.

Calculated values
VASP energy   -103.818 eV per cell
Magnetic moment   0.0 Bohr magnetons per cell
DOS(E_F)   12.3 states/eV/f.u.
Formation energy from the elements   -0.08 eV per formula unit

```
data_Pa4GeC
_chemical_formula_sum 'Pa8 Ge2 C2'
_space_group_name_H-M_alt 'P 1'
_space_group_IT_number 1
_space_group_name_Hall 'P 1'
_cell_length_a 5.635
_cell_length_b 7.169
_cell_length_c 6.907
_cell_angle_alpha 90.00
_cell_angle_beta 90.00
_cell_angle_gamma 90.00
loop_
_atom_site_label
_atom_site_type_symbol
_atom_site_fract_x
_atom_site_fract_y
_atom_site_fract_z
Ge1 Ge 0.000 0.500 0.066
Pa1 Pa 0.244 0.847 0.652
C1 C 0.500 0.000 0.400
Pa2 Pa 0.756 0.153 0.652
Pa3 Pa 0.298 0.242 0.865
Pa4 Pa 0.202 0.242 0.365
Pa5 Pa 0.702 0.758 0.865
Pa6 Pa 0.256 0.847 0.152
Ge2 Ge 0.500 0.500 0.566
Pa7 Pa 0.798 0.758 0.365
C2 C 0.000 0.000 0.900
Pa8 Pa 0.744 0.153 0.152
```



No. 9
## Pa4GeC2 (PBE-GGA)

Data for a relaxed Pa4GeC2 crystal.

Calculated values
VASP energy   -126.940 eV per cell
Magnetic moment   0.0 Bohr magnetons per cell
DOS(E_F)   9.0 states/eV/f.u.
Formation energy from the elements   -2.42 eV per formula unit

```
data_Pa4GeC2
_chemical_formula_sum 'Pa8 Ge2 C4'
_space_group_name_H-M_alt 'P 1'
_space_group_IT_number 1
_space_group_name_Hall 'P 1'
_cell_length_a 3.677
_cell_length_b 6.396
_cell_length_c 12.199
_cell_angle_alpha 90.00
_cell_angle_beta 90.00
_cell_angle_gamma 106.70
loop_
_atom_site_label
_atom_site_type_symbol
_atom_site_fract_x
_atom_site_fract_y
_atom_site_fract_z
Pa1 Pa 0.916 0.833 0.750
Ge1 Ge 0.594 0.187 0.750
Pa2 Pa 0.770 0.539 0.115
Pa3 Pa 0.230 0.461 0.615
Pa4 Pa 0.770 0.539 0.385
Pa5 Pa 0.500 0.000 0.000
Pa6 Pa 0.230 0.461 0.885
C1 C 0.137 0.274 0.444
C2 C 0.137 0.274 0.056
Pa7 Pa 0.084 0.167 0.250
Ge2 Ge 0.406 0.813 0.250
C3 C 0.863 0.726 0.556
Pa8 Pa 0.500 0.000 0.500
C4 C 0.863 0.726 0.944
```



No. 10
## Pa6Ge3C (PBE-GGA)

Data for a relaxed Pa6Ge3C crystal.

Calculated values
VASP energy   -81.818 eV per cell
Magnetic moment   0.0 Bohr magnetons per cell
DOS(E_F)   20.6 states/eV/f.u.
Formation energy from the elements   -1.77 eV per formula unit

```
data_Pa6Ge3C
_chemical_formula_sum 'Pa6 Ge3 C1'
_space_group_name_H-M_alt 'P 1'
_space_group_IT_number 1
_space_group_name_Hall 'P 1'
_cell_length_a 7.014
_cell_length_b 6.068
_cell_length_c 6.068
_cell_angle_alpha 61.09
_cell_angle_beta 79.41
_cell_angle_gamma 79.41
loop_
_atom_site_label
_atom_site_type_symbol
_atom_site_fract_x
_atom_site_fract_y
_atom_site_fract_z
Pa1 Pa 0.353 0.126 0.640
Pa2 Pa 0.647 0.874 0.360
Pa3 Pa 0.145 0.638 0.638
Ge1 Ge 0.260 0.159 0.159
Pa4 Pa 0.353 0.640 0.126
Pa5 Pa 0.647 0.360 0.874
Ge2 Ge 0.740 0.841 0.841
C1 C 0.500 0.500 0.500
Pa6 Pa 0.855 0.362 0.362
Ge3 Ge 0.000 0.000 0.000
```



No. 11
## Pa12Ge6C (PBE-GGA)

Data for a relaxed Pa12Ge6C crystal.

Calculated values
VASP energy   -154.725 eV per cell
Magnetic moment   0.0 Bohr magnetons per cell
DOS(E_F)   40.0 states/eV/f.u.
Formation energy from the elements   -3.85 eV per formula unit

```
data_Pa12Ge6C
_chemical_formula_sum 'Pa12 Ge6 C1'
_space_group_name_H-M_alt 'P 1'
_space_group_IT_number 1
_space_group_name_Hall 'P 1'
_cell_length_a 7.552
_cell_length_b 7.552
_cell_length_c 7.552
_cell_angle_alpha 95.95
_cell_angle_beta 95.95
_cell_angle_gamma 95.95
loop_
_atom_site_label
_atom_site_type_symbol
_atom_site_fract_x
_atom_site_fract_y
_atom_site_fract_z
Pa1 Pa 0.393 0.472 0.167
Pa2 Pa 0.472 0.167 0.393
Ge1 Ge 0.358 0.195 0.764
Ge2 Ge 0.195 0.764 0.358
Pa3 Pa 0.167 0.393 0.472
Ge3 Ge 0.805 0.236 0.642
Ge4 Ge 0.764 0.358 0.195
Pa4 Pa 0.970 0.061 0.323
Pa5 Pa 0.323 0.970 0.061
Ge5 Ge 0.642 0.805 0.236
Pa6 Pa 0.061 0.323 0.970
Pa7 Pa 0.528 0.833 0.607
Pa8 Pa 0.939 0.677 0.030
Pa9 Pa 0.030 0.939 0.677
Pa10 Pa 0.607 0.528 0.833
C1 C 0.000 0.000 0.000
Ge6 Ge 0.236 0.642 0.805
Pa11 Pa 0.677 0.030 0.939
Pa12 Pa 0.833 0.607 0.528
```



No. 12
## Pa5Ge2C2 (PBE-GGA)

Data for a relaxed Pa5Ge2C2 crystal.

Calculated values
VASP energy   -77.142 eV per cell
Magnetic moment   0.0 Bohr magnetons per cell
DOS(E_F)   11.4 states/eV/f.u.
Formation energy from the elements   -1.98 eV per formula unit

```
data_Pa5Ge2C2
_chemical_formula_sum 'Pa5 Ge2 C2'
_space_group_name_H-M_alt 'P 1'
_space_group_IT_number 1
_space_group_name_Hall 'P 1'
_cell_length_a 5.008
_cell_length_b 7.905
_cell_length_c 5.007
_cell_angle_alpha 99.74
_cell_angle_beta 90.00
_cell_angle_gamma 108.47
loop_
_atom_site_label
_atom_site_type_symbol
_atom_site_fract_x
_atom_site_fract_y
_atom_site_fract_z
Pa1 Pa 0.330 0.660 0.053
Pa2 Pa 0.000 0.000 0.000
C1 C 0.162 0.323 0.965
Pa3 Pa 0.670 0.340 0.947
Ge1 Ge 0.555 0.111 0.352
Ge2 Ge 0.445 0.889 0.648
C2 C 0.838 0.677 0.035
Pa4 Pa 0.164 0.328 0.477
Pa5 Pa 0.836 0.672 0.523
```



No. 13
## PuPa2GeC (PBE-GGA)

Data for a relaxed PuPa2GeC crystal.

Calculated values
VASP energy   -96.940 eV per cell
Magnetic moment   0.0 Bohr magnetons per cell
DOS(E_F)   7.9 states/eV/f.u.
Formation energy from the elements   -1.30 eV per formula unit

```
data_PuPa2GeC
_chemical_formula_sum 'Pu2 Pa4 Ge2 C2'
_space_group_name_H-M_alt 'P 1'
_space_group_IT_number 1
_space_group_name_Hall 'P 1'
_cell_length_a 3.485
_cell_length_b 7.783
_cell_length_c 7.683
_cell_angle_alpha 110.82
_cell_angle_beta 90.00
_cell_angle_gamma 90.00
loop_
_atom_site_label
_atom_site_type_symbol
_atom_site_fract_x
_atom_site_fract_y
_atom_site_fract_z
Pu1 Pu 0.250 0.571 0.602
C1 C 0.250 0.876 0.817
Pa1 Pa 0.750 0.914 0.599
Ge1 Ge 0.250 0.657 0.256
C2 C 0.750 0.124 0.183
Pa2 Pa 0.250 0.086 0.401
Ge2 Ge 0.750 0.343 0.744
Pa3 Pa 0.750 0.796 0.006
Pa4 Pa 0.250 0.204 0.994
Pu2 Pu 0.750 0.429 0.398
```